DFT (PBE) results for a geometry-optimized DyMg2W3S8 structure.

Unit cell a=12.253 b=6.952 c=7.662 alpha=90.00 beta=123.41 gamma=90.00
Space group Cm (No. 8)
One atom of each set of equivalent atoms:
Dy: 0.000 0.000 0.000 [2 per cell]
Mg: 0.010 0.500 0.527 [2 per cell]
Mg: 0.349 0.000 0.049 [2 per cell]
W: 0.273 0.308 0.498 [4 per cell]
W: 0.476 0.500 0.486 [2 per cell]
S: 0.006 0.242 0.740 [4 per cell]
S: 0.020 0.256 0.288 [4 per cell]
S: 0.232 0.000 0.668 [2 per cell]
S: 0.247 0.500 0.221 [2 per cell]
S: 0.247 0.500 0.740 [2 per cell]
S: 0.268 0.000 0.287 [2 per cell]

As for the formation energy without anion corrections: -977 meV/atom. The calculation puts the total magnetization at 0.96 μB per formula unit. The total energy comes out at -186.698 eV for the cell shown.

DFT (PBE) results for a geometry-optimized Dy4YMgS8 structure.

Unit cell a=7.9758 b=7.9758 c=19.5331 alpha=90.00 beta=90.00 gamma=120.00
Space group R3m (No. 160, hexagonal axes)
One atom of each set of equivalent atoms:
Dy: 0.0000 0.0000 0.0000 [3 per cell]
Dy: 0.1703 0.3405 0.2074 [9 per cell]
Y: 0.0000 0.0000 0.3777 [3 per cell]
Mg: 0.0000 0.0000 0.7500 [3 per cell]
S: 0.0000 0.0000 0.1334 [3 per cell]
S: 0.0000 0.0000 0.6212 [3 per cell]
S: 0.0095 0.5048 0.1264 [9 per cell]
S: 0.1777 0.3554 0.9554 [9 per cell]

As for the formation energy without anion corrections: -1921 meV/atom. The calculation puts the total magnetization at 0.00 μB per formula unit. The total energy comes out at -259.127 eV for the cell shown.

DFT (PBE) results for a geometry-optimized DyY2MgS4 structure.

Unit cell a=6.725 b=3.836 c=6.730 alpha=90.00 beta=109.03 gamma=90.00
Space group P2/m (No. 10)
One atom of each set of equivalent atoms:
Dy: 0.000 0.000 0.000 [1 per cell]
Y: 0.000 0.500 0.500 [1 per cell]
Y: 0.500 0.000 0.500 [1 per cell]
Mg: 0.500 0.500 0.000 [1 per cell]
S: 0.258 0.500 0.240 [2 per cell]
S: 0.266 0.000 0.766 [2 per cell]

As for the formation energy without anion corrections: -1789 meV/atom. The calculation puts the total magnetization at 0.00 μB per formula unit. The total energy comes out at -49.950 eV for the cell shown.

DFT (PBE) results for a geometry-optimized DyMgSb3 structure.

Unit cell a=13.506 b=6.190 c=6.283 alpha=90.00 beta=90.00 gamma=90.00
Space group Pbcm (No. 57)
One atom of each set of equivalent atoms:
Dy: 0.176 0.008 0.250 [4 per cell]
Mg: 0.393 0.750 0.000 [4 per cell]
Sb: 0.003 0.750 0.000 [4 per cell]
Sb: 0.242 0.001 0.750 [4 per cell]
Sb: 0.417 0.182 0.250 [4 per cell]

As for the formation energy without anion corrections: -511 meV/atom. The calculation puts the total magnetization at 0.00 μB per formula unit. The total energy comes out at -84.474 eV for the cell shown.

DFT (PBE) results for a geometry-optimized Dy8MgSb6 structure.

Unit cell a=9.0648 b=9.0648 c=18.8261 alpha=90.00 beta=90.00 gamma=120.00
Space group R-3 (No. 148, hexagonal axes)
One atom of each set of equivalent atoms:
Dy: 0.0000 0.0000 0.1686 [6 per cell]
Dy: 0.0036 0.2861 0.5946 [18 per cell]
Mg: 0.0000 0.0000 0.5000 [3 per cell]
Sb: 0.0021 0.3722 0.4245 [18 per cell]

As for the formation energy without anion corrections: -779 meV/atom. The calculation puts the total magnetization at 0.00 μB per formula unit. The total energy comes out at -224.495 eV for the cell shown.

DFT (PBE) results for a geometry-optimized Dy3MgSb4 structure.

Unit cell a=6.182 b=6.182 c=6.182 alpha=90.00 beta=90.00 gamma=90.00
Space group Pm-3m (No. 221)
One atom of each set of equivalent atoms:
Dy: 0.000 0.000 0.500 [3 per cell]
Mg: 0.500 0.500 0.500 [1 per cell]
Sb: 0.000 0.000 0.000 [1 per cell]
Sb: 0.000 0.500 0.500 [3 per cell]

As for the formation energy without anion corrections: -835 meV/atom. The calculation puts the total magnetization at 0.00 μB per formula unit. The total energy comes out at -38.574 eV for the cell shown.

DFT (PBE) results for a geometry-optimized DyMgSb structure.

Unit cell a=4.7069 b=4.7069 c=3.9760 alpha=90.00 beta=90.00 gamma=120.00
Space group P-6m2 (No. 187)
One atom of each set of equivalent atoms:
Dy: 0.0000 0.0000 0.0000 [1 per cell]
Mg: 0.6667 0.3333 0.5000 [1 per cell]
Sb: 0.3333 0.6667 0.5000 [1 per cell]

As for the formation energy without anion corrections: -506 meV/atom. The calculation puts the total magnetization at 0.00 μB per formula unit. The total energy comes out at -11.837 eV for the cell shown.

DFT (PBE) results for a geometry-optimized Dy4MgSb2 structure.

Unit cell a=6.332 b=6.566 c=9.827 alpha=90.00 beta=92.72 gamma=90.00
Space group P2_1/m (No. 11)
One atom of each set of equivalent atoms:
Dy: 0.041 0.250 0.241 [2 per cell]
Dy: 0.161 0.750 0.433 [2 per cell]
Dy: 0.444 0.508 0.756 [4 per cell]
Mg: 0.180 0.750 0.074 [2 per cell]
Sb: 0.291 0.250 0.996 [2 per cell]
Sb: 0.328 0.250 0.489 [2 per cell]

As for the formation energy without anion corrections: -464 meV/atom. The calculation puts the total magnetization at 0.00 μB per formula unit. The total energy comes out at -62.990 eV for the cell shown.